Entry one
DyHgSeO: relaxed, PBE.

Cell: 4.0089 4.0089 10.0912 Å, 90.00 90.00 90.00°
Last column: nearest neighbours and their distance in Å.
Sites, in units of the cell vectors:
Dy 0.2500 0.2500 0.1048  4 O 2.27
Dy 0.7500 0.7500 0.8952  4 O 2.27
Hg 0.2500 0.7500 0.5000  4 Hg 2.83, 4 Se 3.15
Hg 0.7500 0.2500 0.5000  4 Hg 2.83, 4 Se 3.15
Se 0.2500 0.2500 0.7405  4 Hg 3.15, 4 Dy 3.24, 4 O 3.30
Se 0.7500 0.7500 0.2595  4 Hg 3.15, 4 Dy 3.24, 4 O 3.30
O 0.2500 0.7500 0.0000  4 Dy 2.27
O 0.7500 0.2500 0.0000  4 Dy 2.27

Output
* total magnetic moment: 0.5 μB per formula unit
* mass density: 9.38 g/cm3

Entry two
DyHgSeO: relaxed, PBE.

Cell: 4.7363 8.9156 5.5027 Å, 90.00 90.00 90.00°
Last column: nearest neighbours and their distance in Å.
Sites, in units of the cell vectors:
Dy 0.0000 0.1347 0.0000  2 O 2.06
Dy 0.0000 0.8653 0.5000  2 O 2.06
Hg 0.5000 0.3065 0.5805  2 Se 2.72-2.78
Hg 0.5000 0.6935 0.0805  2 Se 2.72-2.78
Se 0.5000 0.3068 0.0859  2 Hg 2.72-2.78, 2 Dy 2.86
Se 0.5000 0.6932 0.5859  2 Hg 2.72-2.78, 2 Dy 2.86
O 0.0000 0.0812 0.6357  2 Dy 2.06
O 0.0000 0.9188 0.1357  2 Dy 2.06

Output
* total magnetic moment: 0.0 μB per formula unit
* mass density: 6.55 g/cm3

Energies, relative to the best one, in eV/atom: entry one 0.000; entry two 0.126.

Entry one
DyScHg: relaxed, PBE.

Cell: 4.9255 4.9255 4.9255 Å, 60.00 60.00 60.00°
Last column: nearest neighbours and their distance in Å.
Sites, in units of the cell vectors:
Dy 0.0000 0.0000 0.0000  4 Hg 3.02, 4 Sc 3.02
Sc 0.2500 0.2500 0.2500  4 Dy 3.02
Hg 0.7500 0.7500 0.7500  4 Dy 3.02

Output
* total magnetic moment: 0.0 μB per formula unit
* mass density: 8.02 g/cm3

Entry two
DyScHg: relaxed, PBE.

Cell: 4.9413 4.9413 4.9413 Å, 60.00 60.00 60.00°
Last column: nearest neighbours and their distance in Å.
Sites, in units of the cell vectors:
Dy 0.0000 0.0000 0.0000  4 Hg 3.03
Sc 0.5000 0.5000 0.5000  4 Hg 3.03
Hg 0.2500 0.2500 0.2500  4 Sc 3.03, 4 Dy 3.03

Output
* total magnetic moment: 0.0 μB per formula unit
* mass density: 7.94 g/cm3

Energies, relative to the best one, in eV/atom: entry one 0.503; entry two 0.000.

Entry one
DyHgTe: relaxed, PBE.

Cell: 5.1204 5.1204 5.1204 Å, 60.00 60.00 60.00°
Last column: nearest neighbours and their distance in Å.
Sites, in units of the cell vectors:
Dy 0.0000 0.0000 0.0000  4 Hg 3.14, 4 Te 3.14
Hg 0.7500 0.7500 0.7500  4 Dy 3.14
Te 0.2500 0.2500 0.2500  4 Dy 3.14

Output
* total magnetic moment: 0.1 μB per formula unit
* mass density: 8.58 g/cm3

Entry two
DyHgTe: relaxed, PBE.

Cell: 5.1588 5.1588 5.1588 Å, 60.00 60.00 60.00°
Last column: nearest neighbours and their distance in Å.
Sites, in units of the cell vectors:
Dy 0.0000 0.0000 0.0000  4 Te 3.16
Hg 0.5000 0.5000 0.5000  4 Te 3.16
Te 0.2500 0.2500 0.2500  4 Hg 3.16, 4 Dy 3.16

Output
* total magnetic moment: 0.0 μB per formula unit
* mass density: 8.39 g/cm3

Energies, relative to the best one, in eV/atom: entry one 0.000; entry two 0.186.

Entry one
DyTlHgTe3: relaxed, PBE.

Cell: 11.6079 4.4396 15.1937 Å, 90.00 90.00 90.00°
Last column: nearest neighbours and their distance in Å.
Sites, in units of the cell vectors:
Dy 0.0144 0.2500 0.2471  6 Te 3.11-3.18
Dy 0.4856 0.7500 0.7471  6 Te 3.11-3.18
Dy 0.5144 0.2500 0.2529  6 Te 3.11-3.18
Dy 0.9856 0.7500 0.7529  6 Te 3.11-3.18
Tl 0.2321 0.7500 0.5117  7 Te 3.51-3.64, 2 Hg 3.78
Tl 0.2679 0.2500 0.0117  7 Te 3.51-3.64, 2 Hg 3.78
Tl 0.7321 0.7500 0.9883  7 Te 3.51-3.64, 2 Hg 3.78
Tl 0.7679 0.2500 0.4883  7 Te 3.51-3.64, 2 Hg 3.78
Hg 0.2418 0.2500 0.7131  4 Te 2.81-2.89
Hg 0.2582 0.7500 0.2131  4 Te 2.81-2.89
Hg 0.7418 0.2500 0.7869  4 Te 2.81-2.89
Hg 0.7582 0.7500 0.2869  4 Te 2.81-2.89
Te 0.0349 0.2500 0.6142  1 Hg 2.83, 2 Dy 3.11
Te 0.0594 0.7500 0.1071  1 Hg 2.81, 2 Dy 3.12
Te 0.2368 0.7500 0.8348  2 Hg 2.89, 2 Dy 3.17-3.18
Te 0.2632 0.2500 0.3348  2 Hg 2.89, 2 Dy 3.17-3.18
Te 0.4406 0.2500 0.6071  1 Hg 2.81, 2 Dy 3.12
Te 0.4651 0.7500 0.1142  1 Hg 2.83, 2 Dy 3.11
Te 0.5349 0.2500 0.8858  1 Hg 2.83, 2 Dy 3.11
Te 0.5594 0.7500 0.3929  1 Hg 2.81, 2 Dy 3.12
Te 0.7368 0.7500 0.6652  2 Hg 2.89, 2 Dy 3.17-3.18
Te 0.7632 0.2500 0.1652  2 Hg 2.89, 2 Dy 3.17-3.18
Te 0.9406 0.2500 0.8929  1 Hg 2.81, 2 Dy 3.12
Te 0.9651 0.7500 0.3858  1 Hg 2.83, 2 Dy 3.11

Output
* total magnetic moment: 0.0 μB per formula unit
* mass density: 8.06 g/cm3

Entry two
DyTlHgTe3: relaxed, PBE.

Cell: 8.9090 4.6655 18.5369 Å, 90.00 90.00 90.00°
Last column: nearest neighbours and their distance in Å.
Sites, in units of the cell vectors:
Dy 0.2240 0.2500 0.0395  7 Te 3.07-3.42
Dy 0.2760 0.7500 0.5395  7 Te 3.07-3.42
Dy 0.7240 0.2500 0.4605  7 Te 3.07-3.42
Dy 0.7760 0.7500 0.9605  7 Te 3.07-3.42
Tl 0.0834 0.2500 0.8068  6 Te 3.46-3.52, 2 Hg 3.71
Tl 0.4166 0.7500 0.3068  6 Te 3.46-3.52, 2 Hg 3.71
Tl 0.5834 0.2500 0.6932  6 Te 3.46-3.52, 2 Hg 3.71
Tl 0.9166 0.7500 0.1932  6 Te 3.46-3.52, 2 Hg 3.71
Hg 0.0442 0.2500 0.3364  4 Te 2.84-3.07
Hg 0.4558 0.7500 0.8364  4 Te 2.84-3.07
Hg 0.5442 0.2500 0.1636  4 Te 2.84-3.07
Hg 0.9558 0.7500 0.6636  4 Te 2.84-3.07
Te 0.0046 0.2500 0.5727  2 Hg 2.91, 1 Dy 3.25
Te 0.1264 0.7500 0.9430  3 Dy 3.07-3.14
Te 0.2113 0.2500 0.2060  2 Hg 2.84-3.07, 1 Dy 3.09
Te 0.2887 0.7500 0.7060  2 Hg 2.84-3.07, 1 Dy 3.09
Te 0.3736 0.2500 0.4430  3 Dy 3.07-3.14
Te 0.4954 0.7500 0.0727  2 Hg 2.91, 1 Dy 3.25
Te 0.5046 0.2500 0.9273  2 Hg 2.91, 1 Dy 3.25
Te 0.6264 0.7500 0.5570  3 Dy 3.07-3.14
Te 0.7113 0.2500 0.2940  2 Hg 2.84-3.07, 1 Dy 3.09
Te 0.7887 0.7500 0.7940  2 Hg 2.84-3.07, 1 Dy 3.09
Te 0.8736 0.2500 0.0570  3 Dy 3.07-3.14
Te 0.9954 0.7500 0.4273  2 Hg 2.91, 1 Dy 3.25

Output
* total magnetic moment: 0.0 μB per formula unit
* mass density: 8.19 g/cm3

Energies, relative to the best one, in eV/atom: entry one 0.000; entry two 0.082.

Entry one
DyTlHgTe3: relaxed, PBE.

Cell: 10.0123 10.0123 9.5355 Å, 102.30 102.30 25.34°
Last column: nearest neighbours and their distance in Å.
Sites, in units of the cell vectors:
Dy 0.1747 0.1747 0.0884  6 Te 3.03-3.33
Dy 0.8253 0.8253 0.9116  6 Te 3.03-3.33
Tl 0.1330 0.1330 0.5775  7 Te 3.36-3.62
Tl 0.8670 0.8670 0.4225  7 Te 3.36-3.62
Hg 0.4623 0.4623 0.7778  4 Te 2.88-3.03
Hg 0.5377 0.5377 0.2222  4 Te 2.88-3.03
Te 0.0000 0.0000 0.0000  4 Hg 3.03, 2 Dy 3.33
Te 0.3124 0.3124 0.6788  1 Hg 2.88, 2 Dy 3.09
Te 0.3330 0.3330 0.1362  3 Dy 3.03-3.05
Te 0.5000 0.5000 0.5000  2 Hg 2.90
Te 0.6670 0.6670 0.8638  3 Dy 3.03-3.05
Te 0.6876 0.6876 0.3212  1 Hg 2.88, 2 Dy 3.09

Output
* total magnetic moment: 0.0 μB per formula unit
* mass density: 7.90 g/cm3

Entry two
DyTlHgTe3: relaxed, PBE.

Cell: 8.7329 4.4321 11.0564 Å, 90.00 107.59 90.00°
Last column: nearest neighbours and their distance in Å.
Sites, in units of the cell vectors:
Dy 0.1888 0.2500 0.1419  6 Te 3.03-3.23
Dy 0.8112 0.7500 0.8581  6 Te 3.03-3.23
Tl 0.2419 0.7500 0.7126  6 Te 3.40-3.71
Tl 0.7581 0.2500 0.2874  6 Te 3.40-3.71
Hg 0.4175 0.7500 0.3815  4 Te 2.80-3.03
Hg 0.5825 0.2500 0.6185  4 Te 2.80-3.03
Te 0.0559 0.2500 0.8550  3 Dy 3.03-3.09
Te 0.2399 0.2500 0.4434  3 Hg 2.90-3.03, 1 Dy 3.23
Te 0.4365 0.7500 0.1328  1 Hg 2.80, 2 Dy 3.12
Te 0.5635 0.2500 0.8672  1 Hg 2.80, 2 Dy 3.12
Te 0.7601 0.7500 0.5566  3 Hg 2.90-3.03, 1 Dy 3.23
Te 0.9441 0.7500 0.1450  3 Dy 3.03-3.09

Output
* total magnetic moment: 0.0 μB per formula unit
* mass density: 7.74 g/cm3

Energies, relative to the best one, in eV/atom: entry one 0.050; entry two 0.000.